No. 1
MgNb2Hg GGA-PBE optimized geometry; SG = F-43m; mass density = 8.94 g cm⁻³; calculated total energy = -5.11 eV/atom
1.0
0.000 3.366 3.366
3.366 0.000 3.366
3.366 3.366 0.000
Hg Mg Nb
1 1 2
direct
0.250 0.250 0.250
0.500 0.500 0.500
0.000 0.000 0.000
0.750 0.750 0.750



No. 2
NdMgHg GGA-PBE optimized geometry; SG = F-43m; mass density = 6.94 g cm⁻³; calculated total energy = -2.43 eV/atom
1.0
0.000 3.535 3.535
3.535 0.000 3.535
3.535 3.535 0.000
Hg Mg Nd
1 1 1
direct
0.000 0.000 0.000
0.250 0.250 0.250
0.750 0.750 0.750



No. 3
NdMgHg GGA-PBE optimized geometry; SG = F-43m; mass density = 6.54 g cm⁻³; calculated total energy = -2.05 eV/atom
1.0
0.000 3.605 3.605
3.605 0.000 3.605
3.605 3.605 0.000
Hg Mg Nd
1 1 1
direct
0.250 0.250 0.250
0.750 0.750 0.750
0.000 0.000 0.000



No. 4
NdMg2Hg GGA-PBE optimized geometry; SG = Pmm2; mass density = 6.58 g cm⁻³; calculated total energy = -2.22 eV/atom
1.0
-3.993 0.718 -1.307
-1.686 -2.371 3.849
-0.078 4.123 2.505
Hg Mg Nd
1 2 1
direct
0.000 0.000 0.748
0.500 0.000 0.247
0.500 0.500 0.753
0.000 0.500 0.252



No. 5
PrNd2Mg3Tl2Hg GGA-PBE optimized geometry; SG = Amm2; mass density = 7.58 g cm⁻³; calculated total energy = -3.06 eV/atom
1.0
4.729 0.000 0.000
0.000 6.688 3.850
0.000 -6.688 3.850
Hg Mg Nd Pr Tl
1 3 2 1 2
direct
0.000 0.998 0.998
0.500 0.237 0.000
0.500 0.000 0.237
0.500 0.763 0.763
0.000 0.584 0.000
0.000 0.000 0.584
0.000 0.417 0.417
0.500 0.668 0.333
0.500 0.333 0.668



No. 6
Nd3Mg3Hg2Pt GGA-PBE optimized geometry; SG = P-62m; mass density = 8.10 g cm⁻³; calculated total energy = -3.39 eV/atom
1.0
7.775 0.000 0.000
-3.888 6.734 0.000
0.000 0.000 4.317
Hg Mg Nd Pt
2 3 3 1
direct
0.667 0.333 0.000
0.333 0.667 0.000
0.768 0.000 0.000
0.232 0.232 0.000
0.000 0.768 0.000
0.397 0.000 0.500
0.000 0.397 0.500
0.603 0.603 0.500
0.000 0.000 0.500



No. 7
Nd3Mg3HgPt2 GGA-PBE optimized geometry; SG = P-62m; mass density = 8.59 g cm⁻³; calculated total energy = -4.20 eV/atom
1.0
7.646 0.000 0.000
-3.823 6.621 0.000
0.000 0.000 4.189
Hg Mg Nd Pt
1 3 3 2
direct
0.000 0.000 0.500
0.747 0.000 0.000
0.253 0.253 0.000
0.000 0.747 0.000
0.422 0.000 0.500
0.000 0.422 0.500
0.578 0.578 0.500
0.667 0.333 0.000
0.333 0.667 0.000



No. 8
Nd3Mg3TlHg2 GGA-PBE optimized geometry; SG = P-62m; mass density = 7.75 g cm⁻³; calculated total energy = -2.80 eV/atom
1.0
-5.065 5.834 -0.433
-0.040 -5.565 -5.376
-2.992 -2.411 2.517
Hg Mg Nd Tl
2 3 3 1
direct
0.667 0.333 0.500
0.333 0.667 0.500
0.248 0.000 0.500
0.000 0.248 0.500
0.752 0.752 0.500
0.579 0.000 0.000
0.421 0.421 0.000
0.000 0.579 0.000
0.000 0.000 0.000



No. 9
Nd2TmMg3Tl2Hg GGA-PBE optimized geometry; SG = Amm2; mass density = 8.07 g cm⁻³; calculated total energy = -3.01 eV/atom
1.0
4.673 0.000 0.000
0.000 6.523 3.845
0.000 -6.523 3.845
Hg Mg Nd Tl Tm
1 3 2 2 1
direct
0.000 0.011 0.011
0.500 0.000 0.238
0.500 0.764 0.764
0.500 0.238 0.000
0.000 0.997 0.579
0.000 0.579 0.997
0.500 0.659 0.335
0.500 0.335 0.659
0.000 0.416 0.416



No. 10
NdY2Mg3Tl2Hg GGA-PBE optimized geometry; SG = Amm2; mass density = 7.23 g cm⁻³; calculated total energy = -3.44 eV/atom
1.0
4.640 0.000 0.000
0.000 6.607 3.764
0.000 -6.607 3.764
Hg Mg Nd Tl Y
1 3 1 2 2
direct
0.000 0.993 0.993
0.500 0.000 0.238
0.500 0.761 0.761
0.500 0.238 0.000
0.000 0.421 0.421
0.500 0.672 0.333
0.500 0.333 0.672
0.000 0.582 0.002
0.000 0.002 0.582



No. 11
MgNiHgPb GGA-PBE optimized geometry; energy above the lowest structure with this stoichiometry = 0 meV per atom; SG = F-43m; mass density = 10.24 g cm⁻³; calculated total energy = -2.65 eV/atom
1.0
0.000 3.414 3.414
3.414 0.000 3.414
3.414 3.414 0.000
Hg Mg Ni Pb
1 1 1 1
direct
0.500 0.500 0.500
0.250 0.250 0.250
0.750 0.750 0.750
0.000 0.000 0.000



No. 12
MgNiHgPb GGA-PBE optimized geometry; energy above the lowest structure with this stoichiometry = 45 meV per atom; SG = F-43m; mass density = 9.79 g cm⁻³; calculated total energy = -2.60 eV/atom
1.0
-3.085 -3.635 -1.134
-4.054 -0.694 2.664
-4.394 1.023 -1.913
Hg Mg Ni Pb
1 1 1 1
direct
0.000 0.000 0.000
0.750 0.750 0.750
0.500 0.500 0.500
0.250 0.250 0.250



No. 13
MgNiHgS3 GGA-PBE optimized geometry; energy above the lowest structure with this stoichiometry = 0 meV per atom; SG = Cmcm; mass density = 4.48 g cm⁻³; calculated total energy = -3.63 eV/atom
1.0
7.025 -1.707 0.000
7.025 1.707 0.000
0.000 0.000 11.743
Hg Mg Ni S
2 2 2 6
direct
0.578 0.578 0.250
0.422 0.422 0.750
0.839 0.839 0.250
0.161 0.161 0.750
0.000 0.000 0.000
0.000 0.000 0.500
0.439 0.439 0.099
0.216 0.216 0.250
0.439 0.439 0.401
0.561 0.561 0.599
0.784 0.784 0.750
0.561 0.561 0.901



No. 14
MgNiHgS3 GGA-PBE optimized geometry; energy above the lowest structure with this stoichiometry = 32 meV per atom; SG = Cmcm; mass density = 5.42 g cm⁻³; calculated total energy = -3.60 eV/atom
1.0
5.819 -1.811 0.000
5.819 1.811 0.000
0.000 0.000 11.035
Hg Mg Ni S
2 2 2 6
direct
0.000 0.000 0.000
0.000 0.000 0.500
0.770 0.770 0.250
0.230 0.230 0.750
0.483 0.483 0.250
0.517 0.517 0.750
0.352 0.352 0.098
0.096 0.096 0.250
0.352 0.352 0.402
0.648 0.648 0.598
0.904 0.904 0.750
0.648 0.648 0.902



No. 15
MgNiHgSb GGA-PBE optimized geometry; energy above the lowest structure with this stoichiometry = 0 meV per atom; SG = F-43m; mass density = 8.56 g cm⁻³; calculated total energy = -2.81 eV/atom
1.0
-0.725 -4.714 -0.622
-3.733 -1.534 -2.616
0.744 -1.999 -4.310
Hg Mg Ni Sb
1 1 1 1
direct
0.500 0.500 0.500
0.250 0.250 0.250
0.750 0.750 0.750
0.000 0.000 0.000



No. 16
MgNiHgSe3 GGA-PBE optimized geometry; energy above the lowest structure with this stoichiometry = 23 meV per atom; SG = Cmcm; mass density = 6.94 g cm⁻³; calculated total energy = -3.21 eV/atom
1.0
1.875 -6.828 0.000
1.875 6.828 0.000
0.000 0.000 9.725
Hg Mg Ni Se
2 2 2 6
direct
0.000 0.000 0.000
0.000 0.000 0.500
0.251 0.749 0.250
0.749 0.251 0.750
0.535 0.465 0.250
0.465 0.535 0.750
0.667 0.333 0.089
0.919 0.081 0.250
0.667 0.333 0.411
0.333 0.667 0.589
0.081 0.919 0.750
0.333 0.667 0.911



No. 17
MgNiHgSe3 GGA-PBE optimized geometry; energy above the lowest structure with this stoichiometry = 0 meV per atom; SG = Cmcm; mass density = 6.14 g cm⁻³; calculated total energy = -3.23 eV/atom
1.0
1.801 -6.827 0.000
1.801 6.827 0.000
0.000 0.000 11.451
Hg Mg Ni Se
2 2 2 6
direct
0.038 0.962 0.250
0.962 0.038 0.750
0.327 0.673 0.250
0.673 0.327 0.750
0.500 0.500 0.000
0.500 0.500 0.500
0.901 0.099 0.067
0.690 0.310 0.250
0.901 0.099 0.433
0.099 0.901 0.567
0.310 0.690 0.750
0.099 0.901 0.933



No. 18
MgSiNiHg GGA-PBE optimized geometry; energy above the lowest structure with this stoichiometry = 131 meV per atom; SG = F-43m; mass density = 7.71 g cm⁻³; calculated total energy = -2.94 eV/atom
1.0
-3.181 -1.771 2.750
-4.205 1.768 0.059
-3.489 -2.351 -1.765
Hg Mg Ni Si
1 1 1 1
direct
0.250 0.250 0.250
0.750 0.750 0.750
0.500 0.500 0.500
0.000 0.000 0.000



No. 19
MgSiNiHg GGA-PBE optimized geometry; energy above the lowest structure with this stoichiometry = 0 meV per atom; SG = F-43m; mass density = 7.97 g cm⁻³; calculated total energy = -3.08 eV/atom
1.0
-0.091 -3.561 -2.768
-3.862 -2.230 -0.680
-2.102 0.291 -3.981
Hg Mg Ni Si
1 1 1 1
direct
0.500 0.500 0.500
0.750 0.750 0.750
0.250 0.250 0.250
0.000 0.000 0.000



No. 20
MgNiSnHg GGA-PBE optimized geometry; energy above the lowest structure with this stoichiometry = 0 meV per atom; SG = F-43m; mass density = 8.88 g cm⁻³; calculated total energy = -2.81 eV/atom
1.0
0.000 3.351 3.351
3.351 0.000 3.351
3.351 3.351 0.000
Hg Mg Ni Sn
1 1 1 1
direct
0.500 0.500 0.500
0.750 0.750 0.750
0.250 0.250 0.250
0.000 0.000 0.000